(1)
K5Tc2N6 after structural relaxation, computed with PBE.

a = 6.5190 Å, b = 6.5190 Å, c = 14.8158 Å
α = 81.56°, β = 81.56°, γ = 64.59°
Closest atoms and distances in Å follow each position.
Fractional positions:
K  0.6747  0.2003  0.9953  5 N 2.93-3.15
K  0.7997  0.3253  0.5047  5 N 2.93-3.15
K  0.3253  0.7997  0.0047  5 N 2.93-3.15
K  0.2003  0.6747  0.4953  5 N 2.93-3.15
K  0.7907  0.9052  0.7118  5 N 2.74-2.86
K  0.0948  0.2093  0.7882  5 N 2.74-2.86
K  0.2093  0.0948  0.2882  5 N 2.74-2.86
K  0.9052  0.7907  0.2118  5 N 2.74-2.86
K  0.4010  0.5990  0.7500  4 N 2.84-3.00
K  0.5990  0.4010  0.2500  4 N 2.84-3.00
Tc  0.3661  0.0840  0.5763  4 N 1.77-1.96
Tc  0.9160  0.6339  0.9237  4 N 1.77-1.96
Tc  0.6339  0.9160  0.4237  4 N 1.77-1.96
Tc  0.0840  0.3661  0.0763  4 N 1.77-1.96
N  0.1401  0.0100  0.6266  1 Tc 1.77
N  0.9900  0.8599  0.8734  1 Tc 1.77
N  0.8599  0.9900  0.3734  1 Tc 1.77
N  0.0100  0.1401  0.1266  1 Tc 1.77
N  0.4021  0.2743  0.6410  1 Tc 1.78
N  0.7257  0.5979  0.8590  1 Tc 1.78
N  0.5979  0.7257  0.3590  1 Tc 1.78
N  0.2743  0.4021  0.1410  1 Tc 1.78
N  0.6505  0.8128  0.5541  2 Tc 1.95-1.96
N  0.1872  0.3495  0.9459  2 Tc 1.95-1.96
N  0.3495  0.1872  0.4459  2 Tc 1.95-1.96
N  0.8128  0.6505  0.0541  2 Tc 1.95-1.96

For the energy relative to the elements, uncorrected, the calculation gives -0.22 eV/atom.

(2)
Pm8YTm4 after structural relaxation, computed with PBE.

a = 7.2471 Å, b = 7.2471 Å, c = 10.4100 Å
α = 90.00°, β = 110.37°, γ = 120.00°
Closest atoms and distances in Å follow each position.
Fractional positions:
Pm  0.5739  0.7870  0.3609  9 Pm 3.69-3.82, 3 Tm 4.03
Pm  0.4261  0.2130  0.6391  9 Pm 3.69-3.82, 3 Tm 4.03
Pm  0.4959  0.2479  0.2909  1 Y 3.04, 2 Pm 3.28, 1 Tm 3.36
Pm  0.9571  0.2050  0.7091  1 Y 3.04, 2 Pm 3.28, 1 Tm 3.36
Pm  0.5041  0.7521  0.7091  1 Y 3.04, 2 Pm 3.28, 1 Tm 3.36
Pm  0.9571  0.7521  0.7091  1 Y 3.04, 2 Pm 3.28, 1 Tm 3.36
Pm  0.0429  0.2479  0.2909  1 Y 3.04, 2 Pm 3.28, 1 Tm 3.36
Pm  0.0429  0.7950  0.2909  1 Y 3.04, 2 Pm 3.28, 1 Tm 3.36
Y  0.0000  0.5000  0.5000  6 Pm 3.04
Tm  0.0000  0.0000  0.0000  6 Pm 3.36, 6 Tm 3.62
Tm  0.0000  0.5000  0.0000  4 Pm 3.54, 6 Tm 3.62
Tm  0.5000  0.5000  0.0000  4 Pm 3.54, 6 Tm 3.62
Tm  0.5000  0.0000  0.0000  4 Pm 3.54, 6 Tm 3.62

As for the electronic total energy: -4.59 eV per atom.

(3)
NaZn2Te2 after structural relaxation, computed with PBE.

a = 8.0612 Å, b = 8.0612 Å, c = 3.8649 Å
α = 90.00°, β = 90.00°, γ = 90.00°
Closest atoms and distances in Å follow each position.
Fractional positions:
Na  0.0000  0.0000  0.0000  4 Te 2.98
Na  0.5000  0.5000  0.0000  4 Te 2.98
Zn  0.1291  0.6291  0.5000  1 Zn 2.94, 6 Te 2.97-3.13
Zn  0.6291  0.8709  0.5000  1 Zn 2.94, 6 Te 2.97-3.13
Zn  0.8709  0.3709  0.5000  1 Zn 2.94, 6 Te 2.97-3.13
Zn  0.3709  0.1291  0.5000  1 Zn 2.94, 6 Te 2.97-3.13
Te  0.3274  0.8274  0.0000  6 Zn 2.97-3.13, 2 Na 2.98
Te  0.8274  0.6726  0.0000  6 Zn 2.97-3.13, 2 Na 2.98
Te  0.6726  0.1726  0.0000  6 Zn 2.97-3.13, 2 Na 2.98
Te  0.1726  0.3274  0.0000  6 Zn 2.97-3.13, 2 Na 2.98

For the energy above the most stable polymorph in this dataset, the calculation gives 0.59 eV per formula unit. For the energy relative to the elements, uncorrected, the calculation gives -0.19 eV/atom.

(4)
CuH3Ru after structural relaxation, computed with PBE.

a = 3.2763 Å, b = 3.2763 Å, c = 3.2763 Å
α = 90.00°, β = 90.00°, γ = 90.00°
Closest atoms and distances in Å follow each position.
Fractional positions:
Ru  0.5000  0.5000  0.5000  12 H 2.32
Cu  0.0000  0.0000  0.0000  6 H 1.64
H  0.0000  0.5000  0.0000  2 Cu 1.64
H  0.0000  0.0000  0.5000  2 Cu 1.64
H  0.5000  0.0000  0.0000  2 Cu 1.64

For the energy above the most stable polymorph in this dataset, the calculation gives 1.12 eV per formula unit.

(5)
PbW2Cl after structural relaxation, computed with PBE.

a = 4.9363 Å, b = 4.9363 Å, c = 4.9363 Å
α = 126.48°, β = 126.48°, γ = 79.10°
Closest atoms and distances in Å follow each position.
Fractional positions:
Cl  0.5000  0.5000  0.0000  8 W 2.93-3.14, 4 Pb 2.93
Pb  0.7500  0.2500  0.5000  4 Cl 2.93, 8 W 2.93-3.14
W  0.0000  0.0000  0.0000  4 Pb 2.93, 4 W 2.93, 4 Cl 3.14
W  0.2500  0.7500  0.5000  4 Cl 2.93, 4 W 2.93, 4 Pb 3.14

For the energy above the most stable polymorph in this dataset, the calculation gives 4.08 eV per formula unit. For the energy relative to the elements, uncorrected, the calculation gives 1.23 eV/atom.

(6)
NaPr2Cl6 after structural relaxation, computed with PBE.

a = 6.7706 Å, b = 6.7706 Å, c = 12.1819 Å
α = 90.00°, β = 90.00°, γ = 90.00°
Closest atoms and distances in Å follow each position.
Fractional positions:
Na  0.5000  0.5000  0.0000  6 Cl 2.72-2.87
Na  0.0000  0.0000  0.5000  6 Cl 2.72-2.87
Pr  0.5000  0.5000  0.3450  6 Cl 2.80-2.89
Pr  0.5000  0.5000  0.6550  6 Cl 2.80-2.89
Pr  0.0000  0.0000  0.1550  6 Cl 2.80-2.89
Pr  0.0000  0.0000  0.8450  6 Cl 2.80-2.89
Cl  0.7054  0.7054  0.1717  2 Pr 2.83-2.89, 1 Na 2.87
Cl  0.7054  0.7054  0.8283  2 Pr 2.83-2.89, 1 Na 2.87
Cl  0.7155  0.7155  0.5000  1 Na 2.72, 2 Pr 2.80
Cl  0.7845  0.2155  0.0000  1 Na 2.72, 2 Pr 2.80
Cl  0.7946  0.2054  0.3283  2 Pr 2.83-2.89, 1 Na 2.87
Cl  0.7946  0.2054  0.6717  2 Pr 2.83-2.89, 1 Na 2.87
Cl  0.2054  0.7946  0.3283  2 Pr 2.83-2.89, 1 Na 2.87
Cl  0.2054  0.7946  0.6717  2 Pr 2.83-2.89, 1 Na 2.87
Cl  0.2155  0.7845  0.0000  1 Na 2.72, 2 Pr 2.80
Cl  0.2845  0.2845  0.5000  1 Na 2.72, 2 Pr 2.80
Cl  0.2946  0.2946  0.1717  2 Pr 2.83-2.89, 1 Na 2.87
Cl  0.2946  0.2946  0.8283  2 Pr 2.83-2.89, 1 Na 2.87

For the energy above the most stable polymorph in this dataset, the calculation gives 0.03 eV per formula unit. For the energy relative to the elements, uncorrected, the calculation gives -2.05 eV/atom.